(1)
Density functional theory data (meta-GGA SCAN) for SrLaBr at its PBEsol-relaxed geometry.

a = 3.7838 Å, b = 3.7838 Å, c = 8.1282 Å
α = 97.96°, β = 97.96°, γ = 113.89°
Positions (direct):
Sr (0.6512, 0.6512, 0.3025)
Br (0.0003, 0.0003, 0.0006)
La (0.3485, 0.3485, 0.6970)

Results
* D(E_F): 0.86 states/eV/f.u.
* ΔE_f (raw): -0.907 eV per atom
* symmetry: Fmm2



(2)
Density functional theory data (meta-GGA SCAN) for SrLa2TiBr at its PBEsol-relaxed geometry.

a = 5.6013 Å, b = 5.6331 Å, c = 5.6331 Å
α = 90.00°, β = 90.00°, γ = 90.00°
Positions (direct):
Sr (0.5000, 0.0000, 0.0000)
Ti (0.5000, 0.5000, 0.5000)
Br (0.0000, 0.0000, 0.0000)
La (0.0000, 0.0000, 0.5000)
La (0.0000, 0.5000, 0.0000)

Results
* D(E_F): 6.34 states/eV/f.u.
* ΔE_f (raw): -0.008 eV per atom
* symmetry: P4/mmm



(3)
Density functional theory data (meta-GGA SCAN) for LaTaBr2 at its PBEsol-relaxed geometry.

a = 3.2660 Å, b = 4.8213 Å, c = 6.0436 Å
α = 90.00°, β = 90.00°, γ = 90.00°
Positions (direct):
La (0.5000, 0.5000, 0.0000)
Br (0.0000, 0.0000, 0.0000)
Br (0.5000, 0.0000, 0.5000)
Ta (0.0000, 0.5000, 0.5000)

Results
* D(E_F): 3.40 states/eV/f.u.
* ΔE_f (raw): -0.126 eV per atom
* symmetry: Pmmm